Tb4Tm7Tl after structural relaxation. Source: the Alexandria database, functional GGA-PBE.

abc: 6.6892 6.6892 12.1519
angles: 111.68 111.68 51.21
Element x y z (fractional)
Tb: 0.1228 0.1228 0.2683
Tb: 0.3484 0.3484 0.8775
Tb: 0.6516 0.6516 0.1225
Tb: 0.8772 0.8772 0.7317
Tm: 0.0000 0.0000 0.5000
Tm: 0.1308 0.1308 0.9772
Tm: 0.2989 0.2989 0.5802
Tm: 0.3997 0.3997 0.2184
Tm: 0.6003 0.6003 0.7816
Tm: 0.7011 0.7011 0.4198
Tm: 0.8692 0.8692 0.0228
Tl: 0.5000 0.5000 0.5000

Values from the calculation:
space group = C2/m (12)
calculated formation energy = 209 meV/atom

---

CaMg2Ir after structural relaxation. Source: the Alexandria database, functional GGA-PBE.

abc: 4.8060 4.8060 4.8060
angles: 60.00 60.00 60.00
Element x y z (fractional)
Ca: 0.0000 0.0000 0.0000
Mg: 0.2500 0.2500 0.2500
Mg: 0.7500 0.7500 0.7500
Ir: 0.5000 0.5000 0.5000

Values from the calculation:
space group = Fm-3m (225)
calculated formation energy = -171 meV/atom

---

MgCd2Co after structural relaxation. Source: the Alexandria database, functional GGA-PBE.

abc: 5.5272 5.5272 4.6148
angles: 114.20 114.20 34.10
Element x y z (fractional)
Mg: 0.0000 0.0000 0.0000
Cd: 0.2170 0.2170 0.7171
Cd: 0.4413 0.4413 0.4412
Co: 0.7170 0.7170 0.2168

Values from the calculation:
space group = Cm (8)
calculated formation energy = 143 meV/atom

---

Pr4NiAg3 after structural relaxation. Source: the Alexandria database, functional GGA-PBE.

abc: 3.6859 3.6859 15.1835
angles: 90.00 90.00 90.00
Element x y z (fractional)
Pr: 0.0000 0.0000 0.1098
Pr: 0.0000 0.0000 0.3706
Pr: 0.0000 0.0000 0.6294
Pr: 0.0000 0.0000 0.8902
Ni: 0.5000 0.5000 0.0000
Ag: 0.5000 0.5000 0.2424
Ag: 0.5000 0.5000 0.5000
Ag: 0.5000 0.5000 0.7576

Values from the calculation:
space group = P4/mmm (123)
calculated formation energy = -226 meV/atom